*1*
Tb2GdTh after structural relaxation. Source: Alexandria, functional PBE-GGA.

Cell: 4.185 4.185 7.393 Å, 90.00 90.00 90.00°
Space group P4/mmm (No. 123)
Inequivalent atoms, fractional coordinates:
Tb 0.000 0.000 0.244
Gd 0.500 0.500 0.500
Th 0.500 0.500 0.000

Summary:
Crystal system: tetragonal

---

*2*
Tb2GdTh after structural relaxation. Source: Alexandria, functional PBE-GGA.

Cell: 3.5806 3.5806 34.8047 Å, 90.00 90.00 120.00°
Space group R-3m (No. 166, hexagonal axes)
Inequivalent atoms, fractional coordinates:
Tb 0.0000 0.0000 0.2481
Gd 0.0000 0.0000 0.0000
Th 0.0000 0.0000 0.5000

Summary:
Crystal system: trigonal

---

Which of them is most stable, and which least? Most stable: *2*; least stable: *1*.